[1]
The following is a DFT calculation (GGA-PBE) of a relaxed SrLiNdSn crystal.

Summary:
Its symmetry is F-43m, No. 216. The value obtained for the total magnetization is 0.0 Bohr magnetons per cell. The calculation puts the formation enthalpy at 0 K at -0.39 eV per atom. The crystal system is cubic.

Cell and atoms, written as POSCAR:
```
SrLiNdSn
1.0
0.000 3.917 3.917
3.917 0.000 3.917
3.917 3.917 0.000
Sr Li Nd Sn
1 1 1 1
Cartesian
0.000 0.000 0.000 Sr
1.959 1.959 1.959 Li
3.917 3.917 3.917 Nd
5.876 5.876 5.876 Sn
```

[2]
The following is a DFT calculation (GGA-PBE) of a relaxed K2PuI2O2 crystal.

Summary:
Its symmetry is I4/mmm, No. 139. The value obtained for the total magnetization is 4.0 Bohr magnetons per cell. The crystal system is tetragonal. As for the uncorrected formation energy: -1925 meV per atom.

Cell and atoms, written as POSCAR:
```
K2PuI2O2
1.0
-2.220 2.220 9.979
2.220 -2.220 9.979
2.220 2.220 -9.979
K Pu I O
2 1 2 2
Cartesian
0.000 0.000 2.042 K
0.000 0.000 17.916 K
0.000 0.000 9.979 Pu
0.000 0.000 6.763 I
0.000 0.000 13.195 I
2.220 0.000 0.000 O
0.000 2.220 0.000 O
```

[3]
The following is a DFT calculation (GGA-PBE) of a relaxed ZrMn2Br crystal.

Summary:
Its symmetry is I-42d, No. 122. The value obtained for the total magnetization is 14.0 Bohr magnetons per cell. The crystal system is tetragonal. As for the uncorrected formation energy: 428 meV per atom.

Cell and atoms, written as POSCAR:
```
ZrMn2Br
1.0
-3.779 3.779 2.703
3.779 -3.779 2.703
3.779 3.779 -2.703
Zr Mn Br
2 4 2
Cartesian
0.000 0.000 0.000 Zr
0.000 3.779 1.351 Zr
1.889 2.133 -0.676 Mn
5.424 1.889 0.676 Mn
1.889 1.645 2.027 Mn
-1.645 1.889 3.379 Mn
3.779 0.000 1.351 Br
0.000 0.000 2.703 Br
```

[4]
The following is a DFT calculation (GGA-PBE) of a relaxed La2InI crystal.

Summary:
Its symmetry is I-42d, No. 122. The value obtained for the total magnetization is 0.0 Bohr magnetons per cell. The crystal system is tetragonal. As for the uncorrected formation energy: -209 meV per atom.

Cell and atoms, written as POSCAR:
```
La2InI
1.0
-3.307 3.307 8.480
3.307 -3.307 8.480
3.307 3.307 -8.480
La In I
4 2 2
Cartesian
4.961 1.538 -2.120 La
1.538 1.654 2.120 La
-1.654 1.770 6.360 La
1.770 1.654 10.600 La
0.000 0.000 0.000 In
0.000 3.307 4.240 In
3.307 0.000 4.240 I
0.000 0.000 8.480 I
```

[5]
The following is a DFT calculation (GGA-PBE) of a relaxed AcZn6Rh4 crystal.

Summary:
Its symmetry is P-6m2, No. 187. The value obtained for the total magnetization is 0.0 Bohr magnetons per cell. The calculation puts the formation enthalpy at 0 K at -0.34 eV per atom. The crystal system is hexagonal.

Cell and atoms, written as POSCAR:
```
AcZn6Rh4
1.0
7.227 0.000 0.000
-3.614 6.259 0.000
0.000 0.000 4.148
Ac Zn Rh
1 6 4
Cartesian
0.000 0.000 0.000 Ac
0.000 2.599 2.074 Zn
-1.363 4.960 2.074 Zn
3.614 0.468 0.000 Zn
2.212 2.895 0.000 Zn
1.363 4.960 2.074 Zn
5.015 2.895 0.000 Zn
0.000 4.173 0.000 Rh
2.189 1.264 2.074 Rh
5.038 1.264 2.074 Rh
3.614 3.731 2.074 Rh
```

[6]
The following is a DFT calculation (GGA-PBE) of a relaxed LiP2RuS crystal.

Summary:
Its symmetry is P4/mmm, No. 123. The value obtained for the total magnetization is 0.2 Bohr magnetons per cell. The crystal system is tetragonal. As for the uncorrected formation energy: 985 meV per atom.

Cell and atoms, written as POSCAR:
```
LiP2RuS
1.0
4.162 0.000 0.000
0.000 4.162 0.000
0.000 0.000 4.297
Li P Ru S
1 2 1 1
Cartesian
0.000 0.000 0.000 Li
0.000 2.081 0.000 P
2.081 0.000 0.000 P
2.081 2.081 2.148 Ru
0.000 0.000 2.148 S
```

[7]
The following is a DFT calculation (GGA-PBE) of a relaxed TaPd6Pt2 crystal.

Summary:
Its symmetry is C2/c, No. 15. The value obtained for the total magnetization is 0.0 Bohr magnetons per cell. The calculation puts the formation enthalpy at 0 K at -0.20 eV per atom. The crystal system is monoclinic.

Cell and atoms, written as POSCAR:
```
TaPd6Pt2
1.0
3.563 -8.344 0.000
3.563 8.344 0.000
-1.897 0.000 4.839
Ta Pd Pt
2 12 4
Cartesian
2.140 4.701 3.629 Ta
3.089 -4.701 1.210 Ta
-0.042 3.242 3.883 Pd
1.399 7.029 4.699 Pd
2.881 7.029 2.560 Pd
0.808 0.513 3.939 Pd
1.756 -0.513 1.520 Pd
0.906 -3.242 1.464 Pd
4.322 3.242 3.376 Pd
3.472 0.513 3.320 Pd
4.421 -0.513 0.900 Pd
2.347 -7.029 2.279 Pd
3.830 -7.029 0.141 Pd
5.271 -3.242 0.956 Pd
1.941 2.471 2.026 Pt
4.236 2.471 0.393 Pt
0.993 -2.471 4.446 Pt
3.287 -2.471 2.813 Pt
```

[8]
The following is a DFT calculation (GGA-PBE) of a relaxed BaRe2Mo crystal.

Summary:
Its symmetry is R-3m, No. 166. The value obtained for the total magnetization is 0.0 Bohr magnetons per cell. The calculation puts the formation enthalpy at 0 K at 1.01 eV per atom. The crystal system is trigonal.

Cell and atoms, written as POSCAR:
```
BaRe2Mo
1.0
1.539 0.888 9.792
-1.539 0.888 9.792
0.000 -1.777 9.792
Ba Re Mo
1 2 1
Cartesian
0.000 0.000 0.000 Ba
0.000 0.000 6.811 Re
0.000 0.000 22.565 Re
0.000 0.000 14.688 Mo
```